RbDyH | PBE | optimized geometry

The space group is Amm2 (No. 38) and the conventional cell measures 14.2820, 3.6565 and 6.3277 Å, with angles of 90.00, 90.00 and 90.00 degrees. The asymmetric unit holds Rb at (0.1318, 0.0000, 0.0000), Dy at (0.3921, 0.0000, 0.3343), H at (0.0000, 0.0000, 0.3337) and H at (0.5000, 0.0000, 0.0020).

The value obtained for the total energy is -2.79 eV per atom. Its magnetization is 0.00 μB per formula unit. Its density of states at the Fermi level is 8.221 states/eV per cell.